Compound: KCu3Se
Source: Alexandria via LeMat-Bulk
Functional: PBE
Structure: optimized geometry

a b c (Å): 4.992 4.992 4.992
angles (deg): 90.00 90.00 90.00
Element x y z (fractional)
K (0.000, 0.000, 0.000)
Cu (0.000, 0.000, 0.500)
Cu (0.000, 0.500, 0.000)
Se (0.500, 0.500, 0.500)
Cu (0.500, 0.000, 0.000)

Values from the calculation:
Its raw formation energy is 1615.4 meV/atom. The offset from the most stable computed form comes out at 1252 meV/atom. The total energy is -1.759 eV/atom. As for the calculated density: 4120 kg/m³.

Compound: KCu2Se
Source: Alexandria via LeMat-Bulk
Functional: PBE
Structure: optimized geometry

a b c (Å): 4.861 4.861 4.861
angles (deg): 60.00 60.00 60.00
Element x y z (fractional)
Se (0.750, 0.750, 0.750)
Cu (0.250, 0.250, 0.250)
K (0.500, 0.500, 0.500)
Cu (0.000, 0.000, 0.000)

Values from the calculation:
Its raw formation energy is 316.4 meV/atom. The total energy is -2.877 eV/atom. As for the calculated density: 5012 kg/m³.

Compound: KCu6Se4
Source: Alexandria via LeMat-Bulk
Functional: PBE
Structure: optimized geometry

a b c (Å): 3.955 7.478 7.478
angles (deg): 120.00 90.00 90.00
Element x y z (fractional)
Se (0.500, 0.816, 0.184)
Se (0.500, 0.367, 0.184)
Se (0.000, 0.333, 0.667)
Cu (0.500, 0.205, 0.795)
Cu (0.000, 0.549, 0.098)
Se (0.500, 0.816, 0.633)
K (0.000, 0.000, 0.000)
Cu (0.000, 0.902, 0.451)
Cu (0.500, 0.590, 0.795)
Cu (0.500, 0.205, 0.410)
Cu (0.000, 0.549, 0.451)

Values from the calculation:
Its raw formation energy is -112.0 meV/atom. The offset from the most stable computed form comes out at 160 meV/atom. The total energy is -3.713 eV/atom. As for the calculated density: 6383 kg/m³.

Compound: K2CuSe2
Source: Alexandria via LeMat-Bulk
Functional: PBE
Structure: optimized geometry

a b c (Å): 7.178 7.178 5.091
angles (deg): 90.00 90.00 90.00
Element x y z (fractional)
K (0.850, 0.350, 0.500)
K (0.150, 0.650, 0.500)
Se (0.170, 0.330, 0.000)
K (0.350, 0.150, 0.500)
K (0.650, 0.850, 0.500)
Se (0.830, 0.670, 0.000)
Cu (0.000, 0.000, 0.000)
Se (0.330, 0.830, 0.000)
Cu (0.500, 0.500, 0.000)
Se (0.670, 0.170, 0.000)

Values from the calculation:
Its raw formation energy is -536.9 meV/atom. The total energy is -3.189 eV/atom. As for the calculated density: 3793 kg/m³.

Number 4 is which compound? K2CuSe2